The following is a DFT calculation (PBE) of a relaxed structure of YSi2Br.

Cell: 3.4389 3.4389 25.9673 Å, 90.00 90.00 120.00°
Last column: nearest neighbours and their distance in Å.
Sites, in units of the cell vectors:
Y 0.0000 0.0000 0.0000  6 Si 2.97
Y 0.3333 0.6667 0.6667  6 Si 2.97
Y 0.6667 0.3333 0.3333  6 Si 2.97
Si 0.0000 0.0000 0.2482  3 Br 2.90, 3 Y 2.97
Si 0.0000 0.0000 0.7518  3 Br 2.90, 3 Y 2.97
Si 0.3333 0.6667 0.4184  3 Br 2.90, 3 Y 2.97
Si 0.3333 0.6667 0.9149  3 Br 2.90, 3 Y 2.97
Si 0.6667 0.3333 0.0851  3 Br 2.90, 3 Y 2.97
Si 0.6667 0.3333 0.5816  3 Br 2.90, 3 Y 2.97
Br 0.0000 0.0000 0.5000  6 Si 2.90
Br 0.3333 0.6667 0.1667  6 Si 2.90
Br 0.6667 0.3333 0.8333  6 Si 2.90

Values from the calculation:
Distance to the lowest polymorph of the same formula   1043 meV per atom
Formation energy without anion corrections   1.294 eV per formula unit
Mass density   4.21 Mg/m³

---

The following is a DFT calculation (PBE) of a relaxed structure of MgBe3Tl.

Cell: 4.6711 4.6711 4.6711 Å, 90.00 90.00 90.00°
Last column: nearest neighbours and their distance in Å.
Sites, in units of the cell vectors:
Mg 0.0000 0.0000 0.0000  6 Be 2.34
Be 0.0000 0.0000 0.5000  2 Mg 2.34
Be 0.0000 0.5000 0.0000  2 Mg 2.34
Be 0.5000 0.0000 0.0000  2 Mg 2.34
Tl 0.5000 0.5000 0.5000  12 Be 3.30

Values from the calculation:
Energy relative to the elements   1322 meV/atom
Distance to the lowest polymorph of the same formula   160 meV per atom
Mass density   4.17 Mg/m³

---

The following is a DFT calculation (PBE) of a relaxed structure of CdTeCl2.

Cell: 4.1123 4.1123 25.1350 Å, 90.00 90.00 120.00°
Last column: nearest neighbours and their distance in Å.
Sites, in units of the cell vectors:
Cd 0.0000 0.0000 0.0000  3 Cl 2.73, 3 Te 3.04
Cd 0.3333 0.6667 0.6667  3 Cl 2.73, 3 Te 3.04
Cd 0.6667 0.3333 0.3333  3 Cl 2.73, 3 Te 3.04
Te 0.0000 0.0000 0.2577  3 Cl 3.00, 3 Cd 3.04
Te 0.3333 0.6667 0.9244  3 Cl 3.00, 3 Cd 3.04
Te 0.6667 0.3333 0.5910  3 Cl 3.00, 3 Cd 3.04
Cl 0.0000 0.0000 0.5179  3 Te 3.00
Cl 0.0000 0.0000 0.7202  3 Cd 2.73
Cl 0.3333 0.6667 0.1846  3 Te 3.00
Cl 0.3333 0.6667 0.3869  3 Cd 2.73
Cl 0.6667 0.3333 0.0535  3 Cd 2.73
Cl 0.6667 0.3333 0.8512  3 Te 3.00

Values from the calculation:
Distance to the lowest polymorph of the same formula   261 meV per atom
Formation energy without anion corrections   -1.115 eV per formula unit
Mass density   4.21 Mg/m³

---

The following is a DFT calculation (PBE) of a relaxed structure of ZrZn2Ir.

Cell: 5.3520 8.5448 2.8773 Å, 90.00 90.00 90.00°
Last column: nearest neighbours and their distance in Å.
Sites, in units of the cell vectors:
Zr 0.0000 0.0000 0.0000  2 Ir 2.68, 2 Zr 2.88, 8 Zn 2.90
Zr 0.5000 0.5000 0.0000  2 Ir 2.68, 2 Zr 2.88, 8 Zn 2.90
Zn 0.2500 0.2500 0.5000  4 Zn 2.68-2.88, 4 Zr 2.90, 4 Ir 2.90
Zn 0.2500 0.7500 0.5000  4 Zn 2.68-2.88, 4 Zr 2.90, 4 Ir 2.90
Zn 0.7500 0.2500 0.5000  4 Zn 2.68-2.88, 4 Zr 2.90, 4 Ir 2.90
Zn 0.7500 0.7500 0.5000  4 Zn 2.68-2.88, 4 Zr 2.90, 4 Ir 2.90
Ir 0.0000 0.5000 0.0000  2 Zr 2.68, 2 Ir 2.88, 8 Zn 2.90
Ir 0.5000 0.0000 0.0000  2 Zr 2.68, 2 Ir 2.88, 8 Zn 2.90

Values from the calculation:
Energy relative to the elements   -127 meV/atom
Mass density   10.46 Mg/m³